# 1
A plane-wave DFT calculation with GGA-PBE was carried out for crystalline Sc2ZnCl at its relaxed geometry.

```
Sc2ZnCl
1.0
0.0000 3.3992 3.3992
3.3992 0.0000 3.3992
3.3992 3.3992 0.0000
Sc Zn Cl
2 1 1
Cartesian
1.6996 1.6996 1.6996
5.0988 5.0988 5.0988
0.0000 0.0000 0.0000
3.3992 3.3992 3.3992
```

Computed properties:
- Calculated total energy: -4.306 eV per atom

***

# 2
A plane-wave DFT calculation with GGA-PBE was carried out for crystalline ScZn2Cl at its relaxed geometry.

```
ScZn2Cl
1.0
3.2924 0.0000 0.0000
0.0000 4.7687 0.0000
0.0000 0.0000 5.1257
Sc Zn Cl
1 2 1
Cartesian
0.0000 0.0000 0.0000
1.6462 0.0000 2.7481
1.6462 2.3844 3.6917
0.0000 2.3844 0.8118
```

Computed properties:
- Calculated total energy: -3.100 eV per atom

***

# 3
A plane-wave DFT calculation with GGA-PBE was carried out for crystalline ScZn2Cl at its relaxed geometry.

```
ScZn2Cl
1.0
6.1695 -1.5361 0.0000
6.1695 1.5361 0.0000
-1.5133 0.0000 4.0560
Sc Zn Cl
1 2 1
Cartesian
0.0000 0.0000 0.0000
2.2125 0.0000 3.1386
8.6133 0.0000 0.9174
5.4129 0.0000 2.0280
```

Computed properties:
- Calculated total energy: -3.119 eV per atom

***

# 4
A plane-wave DFT calculation with GGA-PBE was carried out for crystalline ScZn2Cl at its relaxed geometry.

```
ScZn2Cl
1.0
3.3549 0.0000 0.0000
0.0000 4.9589 0.0000
0.0000 0.0000 5.0619
Sc Zn Cl
1 2 1
Cartesian
0.0000 0.0000 0.0000
1.6774 1.2232 2.5309
1.6774 3.7358 2.5309
0.0000 2.4795 0.0000
```

Computed properties:
- Calculated total energy: -3.011 eV per atom